The following is a DFT calculation (PBE-GGA) of an optimized crystal structure of BaCa2IrO5.

a = 3.8490 Å, b = 5.8793 Å, c = 6.7062 Å
α = 116.00°, β = 106.68°, γ = 90.00°
Closest atoms and distances in Å follow each position.
Element x y z (fractional)
O (0.6363, 0.3705, 0.2726)  1 Ir 2.08, 1 Ca 2.31
O (0.6363, 0.9021, 0.2726)  1 Ir 2.08, 1 Ca 2.31
O (0.0000, 0.0000, 0.0000)  2 Ir 1.92
O (0.3637, 0.0979, 0.7274)  1 Ir 2.08, 1 Ca 2.31
O (0.3637, 0.6295, 0.7274)  1 Ir 2.08, 1 Ca 2.31
Ca (0.2149, 0.2149, 0.4298)  7 O 2.31-2.53
Ca (0.7851, 0.7851, 0.5702)  7 O 2.31-2.53
Ir (0.5000, 0.0000, 0.0000)  6 O 1.92-2.08
Ba (0.0000, 0.5000, 0.0000)  10 O 2.93-2.94

## Properties
The value obtained for the formation energy from raw total energies is -2177 meV/atom. As for the calculated volume: 14.4 Å³ per atom. The space group is No. 71.